# PBE-GGA BaSr2H6Ru, relaxed
data_BaSr2H6Ru
_chemical_formula_sum 'Ba1 Sr2 H6 Ru1'
_space_group_name_H-M_alt 'P -3 m 1'
_space_group_IT_number 164
_space_group_name_Hall '-P 3 2"'
_cell_length_a 5.3155
_cell_length_b 5.3155
_cell_length_c 7.0677
_cell_angle_alpha 90.00
_cell_angle_beta 90.00
_cell_angle_gamma 120.00
loop_
_atom_site_label
_atom_site_fract_x
_atom_site_fract_y
_atom_site_fract_z
_atom_site_occupancy
Ba1 0.0000 0.0000 0.0000 1
Sr1 0.3333 0.6667 0.3548 1
H1 0.1522 0.3043 0.6448 1
Ru1 0.0000 0.0000 0.5000 1
# - V: 17.29 Å³ per atom
# - Final energy: -3.943 eV/atom
# - Total moment: 0.00 μB/atom
# - D(E_F): 1.541 states/eV per cell